1.
The following is a DFT calculation (PBE) of a geometry-optimized RbNdGeTe3 structure.

a = 9.539 Å, b = 4.390 Å, c = 12.170 Å
α = 90.00°, β = 110.25°, γ = 90.00°
Space group P2_1/m (No. 11)
Unique sites:
1 Rb 0.238 0.250 0.285 x2
2 Nd 0.362 0.750 0.840 x2
3 Ge 0.117 0.250 0.555 x2
4 Te 0.102 0.250 0.772 x2
5 Te 0.320 0.750 0.567 x2
6 Te 0.387 0.750 0.106 x2

The calculation puts the total magnetic moment at 0.000 μB/f.u. The value obtained for the uncorrected formation energy is -0.9452 eV/atom.

---

2.
The following is a DFT calculation (PBE) of a geometry-optimized NdReGe4 structure.

a = 11.452 Å, b = 6.429 Å, c = 6.868 Å
α = 90.00°, β = 93.88°, γ = 90.00°
Space group C2/c (No. 15)
Unique sites:
1 Nd 0.000 0.096 0.250 x4
2 Re 0.250 0.250 0.000 x4
3 Ge 0.051 0.370 0.909 x8
4 Ge 0.248 0.111 0.651 x8

The formation energy is -0.1386 eV per atom. The calculation puts the total magnetic moment at 0.000 μB/f.u.

---

3.
The following is a DFT calculation (PBE) of a geometry-optimized NdReGe structure.

a = 4.064 Å, b = 4.064 Å, c = 7.644 Å
α = 90.00°, β = 90.00°, γ = 90.00°
Space group P4/nmm (No. 129, origin choice 2)
Unique sites:
1 Nd 0.250 0.250 0.159 x2
2 Re 0.250 0.750 0.500 x2
3 Ge 0.250 0.250 0.714 x2

The formation energy is -0.3198 eV per atom. The calculation puts the total magnetic moment at 0.000 μB/f.u.

---

4.
The following is a DFT calculation (PBE) of a geometry-optimized NdReGe2 structure.

a = 4.7786 Å, b = 4.7786 Å, c = 11.3379 Å
α = 90.00°, β = 90.00°, γ = 120.00°
Space group R-3m (No. 166, hexagonal axes)
Unique sites:
1 Nd 0.0000 0.0000 0.0000 x3
2 Re 0.0000 0.0000 0.5000 x3
3 Ge 0.0000 0.0000 0.2544 x6

The formation energy is -0.0213 eV per atom. The calculation puts the total magnetic moment at 0.000 μB/f.u.

---

5.
The following is a DFT calculation (PBE) of a geometry-optimized Nd2ReGe structure.

a = 3.1513 Å, b = 3.1513 Å, c = 32.4401 Å
α = 90.00°, β = 90.00°, γ = 120.00°
Space group R-3m (No. 166, hexagonal axes)
Unique sites:
1 Nd 0.0000 0.0000 0.0878 x6
2 Re 0.0000 0.0000 0.0000 x3
3 Ge 0.0000 0.0000 0.5000 x3

The formation energy is 0.6476 eV per atom. The calculation puts the total magnetic moment at 0.000 μB/f.u.

---

6.
The following is a DFT calculation (PBE) of a geometry-optimized NdGe2Rh structure.

a = 4.217 Å, b = 6.810 Å, c = 5.909 Å
α = 90.00°, β = 110.81°, γ = 90.00°
Space group P2_1/m (No. 11)
Unique sites:
1 Nd 0.075 0.250 0.151 x2
2 Ge 0.351 0.046 0.702 x4
3 Rh 0.198 0.750 0.394 x2

The formation energy is -0.7791 eV per atom. The calculation puts the total magnetic moment at 0.000 μB/f.u.

---

7.
The following is a DFT calculation (PBE) of a geometry-optimized Nd2Ge5Rh structure.

a = 5.942 Å, b = 5.942 Å, c = 9.761 Å
α = 90.00°, β = 90.00°, γ = 90.00°
Space group I4mm (No. 107)
Unique sites:
1 Nd 0.000 0.500 0.000 x4
2 Ge 0.000 0.000 0.430 x2
3 Ge 0.233 0.233 0.241 x8
4 Rh 0.000 0.000 0.853 x2

The formation energy is -0.5030 eV per atom. The calculation puts the total magnetic moment at 0.000 μB/f.u.

---

8.
The following is a DFT calculation (PBE) of a geometry-optimized NdGe2Rh structure.

a = 4.325 Å, b = 17.168 Å, c = 4.378 Å
α = 90.00°, β = 90.00°, γ = 90.00°
Space group Cmcm (No. 63)
Unique sites:
1 Nd 0.000 0.107 0.250 x4
2 Ge 0.000 0.251 0.750 x4
3 Ge 0.000 0.461 0.250 x4
4 Rh 0.000 0.321 0.250 x4

The formation energy is -0.8281 eV per atom. The calculation puts the total magnetic moment at 0.000 μB/f.u.

---

9.
The following is a DFT calculation (PBE) of a geometry-optimized NdGe4Rh6 structure.

a = 7.2311 Å, b = 7.2311 Å, c = 3.8822 Å
α = 90.00°, β = 90.00°, γ = 120.00°
Space group P-6m2 (No. 187)
Unique sites:
1 Nd 0.0000 0.0000 0.0000 x1
2 Ge 0.3333 0.6667 0.0000 x1
3 Ge 0.3963 0.1982 0.5000 x3
4 Rh 0.2002 0.4003 0.5000 x3
5 Rh 0.5332 0.0664 0.0000 x3

The formation energy is -0.7483 eV per atom. The calculation puts the total magnetic moment at 0.000 μB/f.u.

---

10.
The following is a DFT calculation (PBE) of a geometry-optimized Nd3GeRh8 structure.

a = 5.3960 Å, b = 5.3960 Å, c = 26.2700 Å
α = 90.00°, β = 90.00°, γ = 120.00°
Space group R3m (No. 160, hexagonal axes)
Unique sites:
1 Nd 0.0000 0.0000 0.0000 x3
2 Nd 0.0000 0.0000 0.1307 x3
3 Nd 0.0000 0.0000 0.5199 x3
4 Ge 0.0000 0.0000 0.6545 x3
5 Rh 0.0000 0.0000 0.3164 x3
6 Rh 0.0000 0.0000 0.8180 x3
7 Rh 0.0021 0.5011 0.0678 x9
8 Rh 0.1669 0.3339 0.9017 x9

The formation energy is -0.5159 eV per atom. The calculation puts the total magnetic moment at 0.000 μB/f.u.